No. 1
6
Lattice="3.121 0.000 0.000 0.932 3.512 0.000 0.764 0.690 10.292" Properties=species:S:1:pos:R:3 comment="GaHgB (PBE-GGA, optimized geometry)" dos_ef_per_ev_atom=0.270 m_tot_mub_per_fu=0.0 e_form_ev_per_atom=0.28 energy_ev_per_cell=-18.334 pbc="T T T"
Ga 0.000 0.000 0.000
Ga 2.364 2.076 8.433
Hg 3.309 3.295 4.733
Hg 3.216 1.718 2.256
B 1.827 3.970 7.397
B 3.373 3.815 7.034

No. 2
15
Lattice="5.729 0.000 0.000 -2.864 4.961 0.000 0.000 0.000 7.056" Properties=species:S:1:pos:R:3 comment="Sr3Ta2ZnO9 (PBE-GGA, optimized geometry)" dos_ef_per_ev_atom=0.000 formation_energy_uncorrected_ev_per_atom=-2.81 m_tot_mub_per_fu=0.0 energy_ev_per_cell=-116.794 pbc="T T T"
Sr 0.000 0.000 0.000
Sr 0.000 3.307 4.655
Sr 2.864 1.654 2.401
Ta 0.000 3.307 1.243
Ta 2.864 1.654 5.812
Zn 0.000 0.000 3.528
O -1.432 2.481 0.000
O 0.000 1.690 2.297
O -1.401 4.116 2.297
O 1.463 0.845 4.758
O 2.864 0.000 0.000
O 1.432 2.481 0.000
O 1.401 4.116 2.297
O 4.265 0.845 4.758
O 2.864 3.271 4.758